The following is a DFT calculation (PBE) of crystalline TbYTlCd at its relaxed geometry.

Cell lengths 5.3421, 5.3421, 5.3421 Å; angles 60.00, 60.00, 60.00 degrees
Last column: nearest neighbours and their distance in Å.
Fractional coordinates of all 4 atoms:
Cd  0.0000  0.0000  0.0000  4 Y 3.27, 4 Tb 3.27
Tl  0.5000  0.5000  0.5000  4 Tb 3.27, 4 Y 3.27
Tb  0.2500  0.2500  0.2500  4 Cd 3.27, 4 Tl 3.27
Y  0.7500  0.7500  0.7500  4 Tl 3.27, 4 Cd 3.27

Calculated values
- Space-group type: F-43m
- DOS at the Fermi energy: 1.062 states/eV/atom
- VASP energy: -3.96 eV per atom
- Energy of formation: -0.36 eV per atom